# 1
Here is a relaxed LiZnFeSi crystal from OQMD. Energies are from GGA-PBE.

Space group: F-43m (216)
Relative energy among the computed polymorphs, meV/atom: 102
Energy, eV per atom: -4.25
Spin magnetization, μB per cell: 1.272

Cell and atoms, written as extended XYZ:
```
4
Lattice="1.225 -3.517 1.525 -2.463 -2.138 2.358 -1.592 -3.442 -1.348" Properties=species:S:1:pos:R:3 pbc="T T T"
Si 0.000 0.000 0.000
Fe -2.122 -6.823 1.902
Li -1.415 -4.548 1.268
Zn -0.707 -2.274 0.634
```

=====

# 2
Here is a relaxed LiZnFeSi crystal from OQMD. Energies are from GGA-PBE.

Space group: F-43m (216)
Relative energy among the computed polymorphs, meV/atom: 0
Energy, eV per atom: -4.35
Spin magnetization, μB per cell: 0.942

Cell and atoms, written as extended XYZ:
```
4
Lattice="0.000 2.851 2.851 2.851 0.000 2.851 2.851 2.851 0.000" Properties=species:S:1:pos:R:3 pbc="T T T"
Li 1.425 1.425 1.425
Zn 2.851 2.851 2.851
Si 0.000 0.000 0.000
Fe 4.276 4.276 4.276
```

=====

# 3
Here is a relaxed LiZrFeSi crystal from OQMD. Energies are from GGA-PBE.

Space group: F-43m (216)
Relative energy among the computed polymorphs, meV/atom: 238
Energy, eV per atom: -6.19
Spin magnetization, μB per cell: 1.076

Cell and atoms, written as extended XYZ:
```
4
Lattice="0.308 -4.031 -1.575 -3.551 -2.467 -0.356 -1.614 -0.927 -3.919" Properties=species:S:1:pos:R:3 pbc="T T T"
Si 0.000 0.000 0.000
Li -2.429 -3.712 -2.925
Fe -3.643 -5.568 -4.387
Zr -1.214 -1.856 -1.462
```

=====

# 4
Here is a relaxed LiZrFeSi crystal from OQMD. Energies are from GGA-PBE.

Space group: F-43m (216)
Relative energy among the computed polymorphs, meV/atom: 0
Energy, eV per atom: -6.43
Spin magnetization, μB per cell: 1.005

Cell and atoms, written as extended XYZ:
```
4
Lattice="0.659 0.515 4.164 -2.033 -2.470 2.793 2.144 -2.940 2.190" Properties=species:S:1:pos:R:3 pbc="T T T"
Si 0.000 0.000 0.000
Zr 0.385 -2.448 4.573
Fe 0.577 -3.671 6.860
Li 0.192 -1.224 2.287
```

=====

# 5
Here is a relaxed LiFe2Sn crystal from OQMD. Energies are from GGA-PBE.

Space group: F-43m (216)
Energy, eV per atom: -5.64
Spin magnetization, μB per cell: 4.285

Cell and atoms, written as extended XYZ:
```
4
Lattice="0.000 3.007 3.007 3.007 0.000 3.007 3.007 3.007 0.000" Properties=species:S:1:pos:R:3 pbc="T T T"
Sn 0.000 0.000 0.000
Fe 3.007 3.007 3.007
Fe 4.510 4.510 4.510
Li 1.503 1.503 1.503
```

=====

# 6
Here is a relaxed LiFe2Sn crystal from OQMD. Energies are from GGA-PBE.

Space group: Pm-3m (221)
Energy, eV per atom: -5.34
Spin magnetization, μB per cell: 20.040

Cell and atoms, written as extended XYZ:
```
16
Lattice="-6.087 -0.560 0.145 -0.069 -0.824 -6.059 0.575 -6.033 0.814" Properties=species:S:1:pos:R:3 pbc="T T T"
Sn 0.000 0.000 0.000
Sn -0.034 -0.412 -3.029
Fe -4.019 -5.341 -3.672
Fe -1.563 -2.077 -1.428
Li -2.791 -3.709 -2.550
Fe -1.340 -5.094 -3.736
Sn -3.044 -0.280 0.073
Fe -4.272 -2.686 -4.030
Sn 0.287 -3.017 0.407
Li 0.253 -3.429 -2.622
Fe -4.242 -2.323 -1.364
Li -2.756 -3.297 0.480
Fe -1.593 -2.439 -4.094
Fe -1.310 -4.732 -1.070
Li -3.078 -0.692 -2.957
Fe -3.989 -4.978 -1.006
```

=====

# 7
Here is a relaxed LiFe2Sn crystal from OQMD. Energies are from GGA-PBE.

Space group: Pm-3m (221)
Energy, eV per atom: -5.34
Spin magnetization, μB per cell: 20.050

Cell and atoms, written as extended XYZ:
```
16
Lattice="6.116 0.000 0.000 0.000 6.116 0.000 0.000 0.000 6.116" Properties=species:S:1:pos:R:3 pbc="T T T"
Li 0.000 0.000 0.000
Li 0.000 0.000 3.058
Sn 3.058 0.000 3.058
Li 3.058 0.000 0.000
Fe 1.345 4.771 1.345
Fe 1.345 1.345 1.345
Fe 4.771 1.345 1.345
Fe 1.345 1.345 4.771
Sn 0.000 3.058 3.058
Sn 3.058 3.058 0.000
Fe 1.345 4.771 4.771
Sn 3.058 3.058 3.058
Fe 4.771 4.771 1.345
Fe 4.771 4.771 4.771
Li 0.000 3.058 0.000
Fe 4.771 1.345 4.771
```

=====

# 8
Here is a relaxed LiFeSn2 crystal from OQMD. Energies are from GGA-PBE.

Space group: F-43m (216)
Energy, eV per atom: -4.24
Spin magnetization, μB per cell: 2.755

Cell and atoms, written as extended XYZ:
```
4
Lattice="0.000 3.422 3.422 3.422 0.000 3.422 3.422 3.422 0.000" Properties=species:S:1:pos:R:3 pbc="T T T"
Sn 5.132 5.132 5.132
Fe 1.711 1.711 1.711
Sn 0.000 0.000 0.000
Li 3.422 3.422 3.422
```